(1)
The following is a DFT calculation (PBE) of a relaxed structure of LiZr2Te.

For the formation energy from raw total energies, the calculation gives -18 meV per atom. As for the density of states at the Fermi level: 13.958 states/eV per cell. The total magnetic moment is 0.0 μB/f.u.

The space group is R-3m (No. 166, hexagonal axes) and the conventional cell measures 3.7033, 3.7033 and 22.7344 Å, with angles of 90.00, 90.00 and 120.00 degrees. The inequivalent atoms are Li at (0.0000, 0.0000, 0.0000), Zr at (0.0000, 0.0000, 0.2541) and Te at (0.0000, 0.0000, 0.5000).

***

(2)
The following is a DFT calculation (PBE) of a relaxed structure of LaErNi.

The value obtained for the distance to the lowest polymorph of the same formula is 120 meV/atom. As for the density of states at the Fermi level: 3.523 states/eV per cell. The total magnetic moment is 0.0 μB/f.u.

The space group is P3m1 (No. 156) and the conventional cell measures 3.9440, 3.9440 and 6.3402 Å, with angles of 90.00, 90.00 and 120.00 degrees. The inequivalent atoms are La at (0.0000, 0.0000, 0.0000), Er at (0.3333, 0.6667, 0.4909) and Ni at (0.6667, 0.3333, 0.2594).

***

(3)
The following is a DFT calculation (PBE) of a relaxed structure of Rb3GaGe.

The value obtained for the distance to the lowest polymorph of the same formula is 399 meV/atom. As for the density of states at the Fermi level: 5.103 states/eV per cell. The total magnetic moment is 0.0 μB/f.u.

The space group is Pm-3m (No. 221) and the conventional cell measures 6.8324, 6.8324 and 6.8324 Å, with angles of 90.00, 90.00 and 90.00 degrees. The inequivalent atoms are Rb at (0.0000, 0.0000, 0.5000), Ga at (0.5000, 0.5000, 0.5000) and Ge at (0.0000, 0.0000, 0.0000).

***

(4)
The following is a DFT calculation (PBE) of a relaxed structure of Y4HoTm6.

The value obtained for the distance to the lowest polymorph of the same formula is 0 meV/atom. As for the density of states at the Fermi level: 27.143 states/eV per cell. The total magnetic moment is 0.0 μB/f.u.

The space group is I-42m (No. 121) and the conventional cell measures 6.5126, 6.5126 and 16.8863 Å, with angles of 90.00, 90.00 and 90.00 degrees. The inequivalent atoms are Y at (0.1871, 0.1871, 0.3259), Ho at (0.0000, 0.0000, 0.5000), Tm at (0.0000, 0.5000, 0.0000) and Tm at (0.1787, 0.1787, 0.1284).

***

Which formula does entry 1 have? LiZr2Te